Compound: SmGdAlAg
Source: the Alexandria database
Functional: PBE
Structure: relaxed

Summary:
Space-group type: F-43m (216)
Formation energy: -1.3 eV/f.u.

Lattice parameters (Å, degrees): 5.2230 5.2230 5.2230 60.00 60.00 60.00
With the nearest neighbours (Å) after each atom.
Positions (direct):
Sm 0.0000 0.0000 0.0000  4 Ag 3.20, 4 Al 3.20
Gd 0.5000 0.5000 0.5000  4 Al 3.20, 4 Ag 3.20
Al 0.2500 0.2500 0.2500  4 Gd 3.20, 4 Sm 3.20
Ag 0.7500 0.7500 0.7500  4 Gd 3.20, 4 Sm 3.20